The following is a DFT calculation (meta-GGA SCAN) of a PBEsol-optimized structure of Ca2YRh.

Calculated density (g cm⁻³): 4.6
SG: C2/m (12)
E_tot (eV per atom): -20.080
Energy of formation (meV per atom): 155

Lattice parameters (Å, degrees): 6.095 6.095 3.394 101.61 101.61 121.14
Positions (direct):
Ca 0.000 0.500 0.000
Ca 0.500 0.000 0.000
Y 0.000 0.000 0.500
Rh 0.500 0.500 0.500

=====

The following is a DFT calculation (meta-GGA SCAN) of a PBEsol-optimized structure of CaAcRh2.

Calculated density (g cm⁻³): 9.1
SG: Fm-3m (225)
E_tot (eV per atom): -42.404
Energy of formation (meV per atom): -484

Lattice parameters (Å, degrees): 4.954 4.954 4.954 60.00 60.00 60.00
Positions (direct):
Ca 0.000 0.000 0.000
Ac 0.500 0.500 0.500
Rh 0.250 0.250 0.250
Rh 0.750 0.750 0.750

=====

The following is a DFT calculation (meta-GGA SCAN) of a PBEsol-optimized structure of Fe5Ni4.

Calculated density (g cm⁻³): 8.8
SG: I4/mmm (139)
E_tot (eV per atom): -17.327
Energy of formation (meV per atom): -67

Lattice parameters (Å, degrees): 5.575 5.575 5.575 95.48 95.48 144.01
Positions (direct):
Fe 0.000 0.000 0.000
Fe 0.331 0.331 0.662
Fe 0.331 0.669 0.000
Fe 0.669 0.331 0.000
Fe 0.669 0.669 0.338
Ni 0.000 0.335 0.335
Ni 0.000 0.665 0.665
Ni 0.335 0.000 0.335
Ni 0.665 0.000 0.665

=====

The following is a DFT calculation (meta-GGA SCAN) of a PBEsol-optimized structure of KSnSb2P.

Calculated density (g cm⁻³): 4.1
SG: P4/mmm (123)
Uncorrected formation energy (eV/atom): 1.830
E_tot (eV per atom): -24.004

Lattice parameters (Å, degrees): 5.641 5.641 5.533 90.00 90.00 90.00
Positions (direct):
K 0.000 0.000 0.000
Sn 0.000 0.000 0.500
Sb 0.000 0.500 0.000
Sb 0.500 0.000 0.000
P 0.500 0.500 0.500

=====

The following is a DFT calculation (meta-GGA SCAN) of a PBEsol-optimized structure of Ba3SnO.

Calculated density (g cm⁻³): 5.7
SG: Pm-3m (221)
Uncorrected formation energy (eV/atom): -1.561
E_tot (eV per atom): -33.722

Lattice parameters (Å, degrees): 5.430 5.430 5.430 90.00 90.00 90.00
Positions (direct):
Ba 0.000 0.000 0.500
Ba 0.000 0.500 0.000
Ba 0.500 0.000 0.000
Sn 0.500 0.500 0.500
O 0.000 0.000 0.000

=====

The following is a DFT calculation (meta-GGA SCAN) of a PBEsol-optimized structure of ScZn2Re.

Calculated density (g cm⁻³): 9.7
SG: F-43m (216)
E_tot (eV per atom): -27.922
Energy of formation (meV per atom): 169

Lattice parameters (Å, degrees): 4.441 4.441 4.441 60.00 60.00 60.00
Positions (direct):
Sc 0.000 0.000 0.000
Zn 0.250 0.250 0.250
Zn 0.500 0.500 0.500
Re 0.750 0.750 0.750

=====

The following is a DFT calculation (meta-GGA SCAN) of a PBEsol-optimized structure of BeCu3.

Calculated density (g cm⁻³): 7.9
SG: Fm-3m (225)
E_tot (eV per atom): -12.539
Energy of formation (meV per atom): -51

Lattice parameters (Å, degrees): 3.907 3.907 3.907 60.00 60.00 60.00
Positions (direct):
Be 0.000 0.000 0.000
Cu 0.250 0.250 0.250
Cu 0.500 0.500 0.500
Cu 0.750 0.750 0.750

=====

The following is a DFT calculation (meta-GGA SCAN) of a PBEsol-optimized structure of Mg4CrNi.

Calculated density (g cm⁻³): 3.1
SG: F-43m (216)
E_tot (eV per atom): -8.617
Energy of formation (meV per atom): 458

Lattice parameters (Å, degrees): 5.406 5.406 5.406 60.00 60.00 60.00
Positions (direct):
Mg 0.125 0.125 0.125
Mg 0.125 0.125 0.624
Mg 0.125 0.624 0.125
Mg 0.624 0.125 0.125
Cr 0.750 0.750 0.750
Ni 0.500 0.500 0.500

=====

The following is a DFT calculation (meta-GGA SCAN) of a PBEsol-optimized structure of BPtF3.

Calculated density (g cm⁻³): 5.9
SG: Pm-3m (221)
Uncorrected formation energy (eV/atom): 0.068
E_tot (eV per atom): -17.580

Lattice parameters (Å, degrees): 4.187 4.187 4.187 90.00 90.00 90.00
Positions (direct):
B 0.000 0.000 0.000
Pt 0.500 0.500 0.500
F 0.000 0.500 0.500
F 0.500 0.000 0.500
F 0.500 0.500 0.000

=====

The following is a DFT calculation (meta-GGA SCAN) of a PBEsol-optimized structure of NaTl2BAu.

Calculated density (g cm⁻³): 9.5
SG: P4/mmm (123)
E_tot (eV per atom): -44.855
Energy of formation (meV per atom): 249

Lattice parameters (Å, degrees): 5.133 5.133 4.229 90.00 90.00 90.00
Positions (direct):
Na 0.000 0.000 0.000
Tl 0.000 0.500 0.500
Tl 0.500 0.000 0.500
B 0.500 0.500 0.500
Au 0.500 0.500 0.000

=====

The following is a DFT calculation (meta-GGA SCAN) of a PBEsol-optimized structure of MnFeGe2.

Calculated density (g cm⁻³): 9.0
SG: Fm-3m (225)
E_tot (eV per atom): -18.557
Energy of formation (meV per atom): 83

Lattice parameters (Å, degrees): 4.052 4.052 4.052 60.00 60.00 60.00
Positions (direct):
Mn 0.000 0.000 0.000
Fe 0.500 0.500 0.500
Ge 0.250 0.250 0.250
Ge 0.750 0.750 0.750

=====

The following is a DFT calculation (meta-GGA SCAN) of a PBEsol-optimized structure of ErAgS2.

Calculated density (g cm⁻³): 6.6
SG: P2_1 (4)
Uncorrected formation energy (eV/atom): -1.511
E_tot (eV per atom): -26.752

Lattice parameters (Å, degrees): 7.462 7.479 12.217 90.00 90.02 90.00
Positions (direct):
Er 0.001 0.000 0.246
Er 0.248 0.252 0.504
Er 0.252 0.744 0.004
Er 0.499 0.996 0.746
Er 0.501 0.496 0.254
Er 0.748 0.244 0.996
Er 0.752 0.752 0.496
Er 0.999 0.500 0.754
Ag 0.003 0.513 0.322
Ag 0.216 0.278 0.070
Ag 0.285 0.717 0.570
Ag 0.494 0.478 0.822
Ag 0.506 0.978 0.178
Ag 0.715 0.217 0.430
Ag 0.784 0.778 0.930
Ag 0.997 0.013 0.678
S 0.022 0.523 0.534
S 0.023 0.019 0.024
S 0.222 0.276 0.283
S 0.232 0.230 0.726
S 0.268 0.766 0.225
S 0.278 0.720 0.783
S 0.477 0.977 0.524
S 0.478 0.472 0.034
S 0.522 0.972 0.966
S 0.523 0.477 0.476
S 0.722 0.220 0.217
S 0.732 0.266 0.775
S 0.768 0.730 0.274
S 0.778 0.776 0.717
S 0.977 0.519 0.976
S 0.978 0.023 0.466

=====

Question: Number 1 is which compound?
Answer: Ca2YRh

=====

Question: Which of these has the lowest E_tot?
Answer: NaTl2BAu